# 1
# EuDyInAg

A geometry-optimized EuDyInAg structure (PBE, Alexandria via LeMat-Bulk).

Output
magnetization	6.9	μB/cell
total energy	-5.4671	eV per atom
energy relative to the elements	-0.35	eV per atom

extended XYZ file:
```
4
Lattice="5.358 0.000 0.000 2.679 4.640 0.000 2.679 1.547 4.375" Properties=species:S:1:pos:R:3 pbc="T T T"
Eu 0.000 0.000 0.000
In 8.037 4.640 3.281
Ag 2.679 1.547 1.094
Dy 5.358 3.093 2.187
```



# 2
# Zn4Ru

A geometry-optimized Zn4Ru structure (PBE, Alexandria via LeMat-Bulk).

Output
magnetization	0.0	μB/cell
total energy	-2.2695	eV per atom
energy relative to the elements	0.60	eV per atom

extended XYZ file:
```
5
Lattice="4.785 0.000 0.000 0.000 4.785 0.000 0.000 0.000 4.785" Properties=species:S:1:pos:R:3 pbc="T T T"
Ru 2.392 2.392 2.392
Zn 0.000 0.000 0.000
Zn 2.392 0.000 2.392
Zn 0.000 2.392 2.392
Zn 2.392 2.392 0.000
```



# 3
# GdHfMg2

A geometry-optimized GdHfMg2 structure (PBE, Alexandria via LeMat-Bulk).

Output
magnetization	7.4	μB/cell
total energy	-6.7215	eV per atom
energy relative to the elements	0.08	eV per atom

extended XYZ file:
```
4
Lattice="-0.843 -1.551 -2.750 2.395 -2.168 0.488 -5.743 -5.279 4.737" Properties=species:S:1:pos:R:3 pbc="T T T"
Mg -4.429 -4.071 3.653
Mg -1.314 -1.207 1.083
Gd -2.095 -4.499 1.238
Hf 0.776 -1.859 -1.131
```



# 4
# MgSbSeN2

A geometry-optimized MgSbSeN2 structure (PBE, Alexandria via LeMat-Bulk).

Output
magnetization	3.0	μB/cell
E_form (uncorrected)	1.1110	eV per atom
total energy	-4.0594	eV per atom

extended XYZ file:
```
5
Lattice="-0.838 4.095 -0.223 -1.479 -0.515 -3.882 -4.826 -0.881 1.955" Properties=species:S:1:pos:R:3 pbc="T T T"
Sb -3.572 1.350 -1.075
Mg 0.000 0.000 0.000
Se -2.413 -0.441 0.978
N -0.739 -0.257 -1.941
N -0.419 2.048 -0.112
```



# 5
# SmIn5Hg8

A geometry-optimized SmIn5Hg8 structure (PBE, Alexandria via LeMat-Bulk).

Output
magnetization	0.0	μB/cell
total energy	-1.5597	eV per atom
energy relative to the elements	-0.07	eV per atom

extended XYZ file:
```
14
Lattice="0.935 -2.768 -7.656 -2.577 -4.627 6.252 -6.220 5.130 1.393" Properties=species:S:1:pos:R:3 pbc="T T T"
Sm -4.925 -2.120 3.373
In -4.876 0.922 -4.542
In -5.757 -1.608 0.070
In -0.828 -0.445 -2.078
In -0.755 -3.401 -0.645
In -3.282 -5.952 -1.085
Hg -0.954 -4.839 -3.484
Hg -2.593 -1.421 1.154
Hg -4.050 -4.224 1.226
Hg -4.452 0.886 2.368
Hg -3.268 -2.512 -2.257
Hg -6.932 -1.352 5.870
Hg -7.604 -0.557 2.880
Hg -4.172 0.342 -1.543
```



# 6
# Ni3GePt

A geometry-optimized Ni3GePt structure (PBE, Alexandria via LeMat-Bulk).

Output
magnetization	2.9	μB/cell
total energy	-4.5224	eV per atom
energy relative to the elements	1.08	eV per atom

extended XYZ file:
```
5
Lattice="4.597 0.000 0.000 0.000 4.597 0.000 0.000 0.000 4.597" Properties=species:S:1:pos:R:3 pbc="T T T"
Ni 0.000 2.299 0.000
Ni 0.000 0.000 2.299
Ni 2.299 0.000 0.000
Ge 2.299 2.299 2.299
Pt 0.000 0.000 0.000
```



> The highest total energy belongs to which entry?

SmIn5Hg8